Entry from Alexandria via LeMat-Bulk: crystalline TbTh3H at its relaxed geometry (GGA-PBE).

* density of states at the Fermi level: 7.7 states/eV/cell
* SG: No. 221
* crystal system: cubic
* uncorrected energy: -0.44870 Ry/atom

Cell lengths 5.0884, 5.0884, 5.0884 Å; angles 90.00, 90.00, 90.00 degrees
With the nearest neighbours (Å) after each atom.
Sites, in units of the cell vectors:
Tb  0.0000  0.0000  0.0000  12 Th 3.60
Th  0.0000  0.5000  0.5000  2 H 2.54
Th  0.5000  0.0000  0.5000  2 H 2.54
Th  0.5000  0.5000  0.0000  2 H 2.54
H  0.5000  0.5000  0.5000  6 Th 2.54